YSc at its PBEsol-relaxed geometry. Source: Alexandria, functional meta-GGA SCAN.

The structure belongs to space group Fm-3m (No. 225); the cell edges are 6.1347, 6.1347 and 6.1347 Å and the angles 90.00°, 90.00° and 90.00°. Symmetry generates all atoms from Y at (0.0000, 0.0000, 0.0000) and Sc at (0.0000, 0.0000, 0.5000).

As for the formation enthalpy at 0 K: 697 meV/atom. The value obtained for the calculated volume is 28.86 A^3/atom. The energy above the lowest structure with this stoichiometry comes out at 676 meV/atom. As for the spin magnetization: 7.6 μB/cell. As for the density of states at the Fermi level: 2.40 states/eV/f.u.

***

Y3Sc at its PBEsol-relaxed geometry. Source: Alexandria, functional meta-GGA SCAN.

The structure belongs to space group Pmm2 (No. 25); the cell edges are 3.5137, 5.4505 and 6.0719 Å and the angles 90.00°, 90.00° and 90.00°. Symmetry generates all atoms from Y at (0.0000, 0.0000, 0.0000), Y at (0.0000, 0.5000, 0.3399), Y at (0.5000, 0.5000, 0.8319) and Sc at (0.5000, 0.0000, 0.5047).

As for the formation enthalpy at 0 K: 28 meV/atom. The value obtained for the calculated volume is 29.07 A^3/atom. The energy above the lowest structure with this stoichiometry comes out at 10 meV/atom. As for the spin magnetization: 2.0 μB/cell. As for the density of states at the Fermi level: 5.24 states/eV/f.u.

***

YSc at its PBEsol-relaxed geometry. Source: Alexandria, functional meta-GGA SCAN.

The structure belongs to space group P-6m2 (No. 187); the cell edges are 3.4382, 3.4382 and 5.3117 Å and the angles 90.00°, 90.00° and 120.00°. Symmetry generates all atoms from Y at (0.0000, 0.0000, 0.0000) and Sc at (0.6667, 0.3333, 0.5000).

As for the formation enthalpy at 0 K: 58 meV/atom. The value obtained for the calculated volume is 27.19 A^3/atom. The energy above the lowest structure with this stoichiometry comes out at 37 meV/atom. As for the spin magnetization: 0.9 μB/cell. As for the density of states at the Fermi level: 2.98 states/eV/f.u.

***

Y5Sc4 at its PBEsol-relaxed geometry. Source: Alexandria, functional meta-GGA SCAN.

The structure belongs to space group P6_3/mcm (No. 193); the cell edges are 9.2344, 9.2344 and 6.6569 Å and the angles 90.00°, 90.00° and 120.00°. Symmetry generates all atoms from Y at (0.0000, 0.3012, 0.2500), Y at (0.3333, 0.6667, 0.0000), Sc at (0.0000, 0.0000, 0.0000) and Sc at (0.0000, 0.3557, 0.7500).

As for the formation enthalpy at 0 K: 67 meV/atom. The value obtained for the calculated volume is 27.31 A^3/atom. The energy above the lowest structure with this stoichiometry comes out at 0 meV/atom. As for the spin magnetization: 0.0 μB/cell. As for the density of states at the Fermi level: 11.22 states/eV/f.u.

***

YSc at its PBEsol-relaxed geometry. Source: Alexandria, functional meta-GGA SCAN.

The structure belongs to space group Pmmn (No. 59, origin choice 2); the cell edges are 3.4401, 5.3333 and 5.9172 Å and the angles 90.00°, 90.00° and 90.00°. Symmetry generates all atoms from Y at (0.2500, 0.2500, 0.0868) and Sc at (0.2500, 0.7500, 0.4187).

As for the formation enthalpy at 0 K: 43 meV/atom. The value obtained for the calculated volume is 27.14 A^3/atom. The energy above the lowest structure with this stoichiometry comes out at 21 meV/atom. As for the spin magnetization: 2.0 μB/cell. As for the density of states at the Fermi level: 2.44 states/eV/f.u.

***

Y5Sc at its PBEsol-relaxed geometry. Source: Alexandria, functional meta-GGA SCAN.

The structure belongs to space group Amm2 (No. 38); the cell edges are 5.4970, 3.5354 and 18.3343 Å and the angles 90.00°, 90.00° and 90.00°. Symmetry generates all atoms from Y at (0.0000, 0.0000, 0.0000), Y at (0.0000, 0.0000, 0.3273), Y at (0.5000, 0.0000, 0.2168), Y at (0.5000, 0.0000, 0.5544), Y at (0.5000, 0.0000, 0.8853) and Sc at (0.0000, 0.0000, 0.6630).

As for the formation enthalpy at 0 K: 18 meV/atom. The value obtained for the calculated volume is 29.69 A^3/atom. As for the spin magnetization: 5.9 μB/cell. As for the density of states at the Fermi level: 7.93 states/eV/f.u.

***

Y2Sc at its PBEsol-relaxed geometry. Source: Alexandria, functional meta-GGA SCAN.

The structure belongs to space group Cm (No. 8); the cell edges are 12.3734, 3.4878 and 8.0904 Å and the angles 90.00°, 102.73° and 90.00°. Symmetry generates all atoms from Y at (0.0000, 0.0000, 0.0000), Y at (0.0523, 0.0000, 0.6040), Y at (0.2235, 0.5000, 0.9347), Y at (0.3809, 0.0000, 0.2791), Sc at (0.1645, 0.5000, 0.3350) and Sc at (0.3286, 0.0000, 0.6560).

As for the formation enthalpy at 0 K: 40 meV/atom. The value obtained for the calculated volume is 28.38 A^3/atom. The energy above the lowest structure with this stoichiometry comes out at 10 meV/atom. As for the spin magnetization: 0.2 μB/cell. As for the density of states at the Fermi level: 4.10 states/eV/f.u.

***

YSc at its PBEsol-relaxed geometry. Source: Alexandria, functional meta-GGA SCAN.

The structure belongs to space group R-3m (No. 166, hexagonal axes); the cell edges are 3.3748, 3.3748 and 16.2645 Å and the angles 90.00°, 90.00° and 120.00°. Symmetry generates all atoms from Y at (0.0000, 0.0000, 0.0000) and Sc at (0.0000, 0.0000, 0.5000).

As for the formation enthalpy at 0 K: 109 meV/atom. The value obtained for the calculated volume is 26.74 A^3/atom. The energy above the lowest structure with this stoichiometry comes out at 88 meV/atom. As for the spin magnetization: 0.1 μB/cell. As for the density of states at the Fermi level: 2.90 states/eV/f.u.

***

Y2Sc at its PBEsol-relaxed geometry. Source: Alexandria, functional meta-GGA SCAN.

The structure belongs to space group P6_3/mmc (No. 194); the cell edges are 5.3692, 5.3692 and 6.7615 Å and the angles 90.00°, 90.00° and 120.00°. Symmetry generates all atoms from Y at (0.0000, 0.0000, 0.0000), Y at (0.3333, 0.6667, 0.2500) and Sc at (0.3333, 0.6667, 0.7500).

As for the formation enthalpy at 0 K: 77 meV/atom. The value obtained for the calculated volume is 28.13 A^3/atom. The energy above the lowest structure with this stoichiometry comes out at 47 meV/atom. As for the spin magnetization: 1.8 μB/cell. As for the density of states at the Fermi level: 4.71 states/eV/f.u.

***

Y2Sc at its PBEsol-relaxed geometry. Source: Alexandria, functional meta-GGA SCAN.

The structure belongs to space group Pnma (No. 62); the cell edges are 6.5536, 5.3510 and 9.6524 Å and the angles 90.00°, 90.00° and 90.00°. Symmetry generates all atoms from Y at (0.0404, 0.2500, 0.2196), Y at (0.1950, 0.2500, 0.5558) and Sc at (0.2036, 0.2500, 0.8826).

As for the formation enthalpy at 0 K: 88 meV/atom. The value obtained for the calculated volume is 28.21 A^3/atom. The energy above the lowest structure with this stoichiometry comes out at 58 meV/atom. As for the spin magnetization: 0.0 μB/cell. As for the density of states at the Fermi level: 4.91 states/eV/f.u.

***

Y2Sc at its PBEsol-relaxed geometry. Source: Alexandria, functional meta-GGA SCAN.

The structure belongs to space group P6/mmm (No. 191); the cell edges are 5.3852, 5.3852 and 3.3395 Å and the angles 90.00°, 90.00° and 120.00°. Symmetry generates all atoms from Y at (0.3333, 0.6667, 0.0000) and Sc at (0.0000, 0.0000, 0.5000).

As for the formation enthalpy at 0 K: 107 meV/atom. The value obtained for the calculated volume is 27.96 A^3/atom. The energy above the lowest structure with this stoichiometry comes out at 77 meV/atom. As for the spin magnetization: 0.0 μB/cell. As for the density of states at the Fermi level: 5.64 states/eV/f.u.

***

YSc at its PBEsol-relaxed geometry. Source: Alexandria, functional meta-GGA SCAN.

The structure belongs to space group Cm (No. 8); the cell edges are 12.1723, 3.4324 and 7.9796 Å and the angles 90.00°, 103.00° and 90.00°. Symmetry generates all atoms from Y at (0.0000, 0.0000, 0.0000), Y at (0.0503, 0.0000, 0.6107), Y at (0.3756, 0.0000, 0.2761), Sc at (0.1617, 0.5000, 0.3363), Sc at (0.2212, 0.5000, 0.9385) and Sc at (0.3228, 0.0000, 0.6658).

As for the formation enthalpy at 0 K: 37 meV/atom. The value obtained for the calculated volume is 27.07 A^3/atom. The energy above the lowest structure with this stoichiometry comes out at 15 meV/atom. As for the spin magnetization: 0.2 μB/cell. As for the density of states at the Fermi level: 2.59 states/eV/f.u.

***

YSc at its PBEsol-relaxed geometry. Source: Alexandria, functional meta-GGA SCAN.

The structure belongs to space group P-3m1 (No. 164); the cell edges are 3.4280, 3.4280 and 10.6520 Å and the angles 90.00°, 90.00° and 120.00°. Symmetry generates all atoms from Y at (0.3333, 0.6667, 0.3642) and Sc at (0.3333, 0.6667, 0.8851).

As for the formation enthalpy at 0 K: 47 meV/atom. The value obtained for the calculated volume is 27.10 A^3/atom. The energy above the lowest structure with this stoichiometry comes out at 25 meV/atom. As for the spin magnetization: 0.6 μB/cell. As for the density of states at the Fermi level: 2.70 states/eV/f.u.

***

Y3Sc at its PBEsol-relaxed geometry. Source: Alexandria, functional meta-GGA SCAN.

The structure belongs to space group P-6m2 (No. 187); the cell edges are 3.5113, 3.5113 and 10.8716 Å and the angles 90.00°, 90.00° and 120.00°. Symmetry generates all atoms from Y at (0.0000, 0.0000, 0.0000), Y at (0.6667, 0.3333, 0.2600) and Sc at (0.0000, 0.0000, 0.5000).

As for the formation enthalpy at 0 K: 37 meV/atom. The value obtained for the calculated volume is 29.02 A^3/atom. The energy above the lowest structure with this stoichiometry comes out at 19 meV/atom. As for the spin magnetization: 0.6 μB/cell. As for the density of states at the Fermi level: 5.68 states/eV/f.u.